w) Below is crystalline CsBi3Os at its relaxed geometry, with properties calculated at the GGA-PBE level.

Computed properties:
crystal system = cubic
theoretical density = 9.12 g cm⁻³

a = 5.573 Å, b = 5.573 Å, c = 5.573 Å
α = 90.00°, β = 90.00°, γ = 90.00°
Last column: magnetic moment on the atom in μB.
Sites, in units of the cell vectors:
Bi1 0.500 0.000 0.000  0.02
Os1 0.000 0.000 0.000  0.88
Cs1 0.500 0.500 0.500  0.01
Bi2 0.000 0.500 0.000  0.02
Bi3 0.000 0.000 0.500  0.02

x) Below is crystalline CsBi3Os at its relaxed geometry, with properties calculated at the GGA-PBE level.

Computed properties:
crystal system = cubic
theoretical density = 6.61 g cm⁻³

a = 6.202 Å, b = 6.202 Å, c = 6.202 Å
α = 90.00°, β = 90.00°, γ = 90.00°
Last column: magnetic moment on the atom in μB.
Sites, in units of the cell vectors:
Bi1 0.000 0.000 0.500  -0.04
Bi2 0.500 0.000 0.000  0.10
Os1 0.500 0.500 0.500  3.33
Bi3 0.000 0.500 0.000  0.08
Cs1 0.000 0.000 0.000  0.03

Relative energy table, unit meV/atom: w) 0; x) 2090

w) Below is crystalline CsBiP3 at its relaxed geometry, with properties calculated at the GGA-PBE level.

Computed properties:
crystal system = cubic
theoretical density = 4.44 g cm⁻³

a = 5.458 Å, b = 5.458 Å, c = 5.458 Å
α = 90.00°, β = 90.00°, γ = 90.00°
Last column: magnetic moment on the atom in μB.
Sites, in units of the cell vectors:
Cs1 0.500 0.500 0.500  0.01
P1 0.500 0.000 0.000  0.13
P2 0.000 0.500 0.000  0.18
Bi1 0.000 0.000 0.000  -0.01
P3 0.000 0.000 0.500  0.27

x) Below is crystalline CsBiP3 at its relaxed geometry, with properties calculated at the GGA-PBE level.

Computed properties:
crystal system = cubic
theoretical density = 4.62 g cm⁻³

a = 5.385 Å, b = 5.385 Å, c = 5.385 Å
α = 90.00°, β = 90.00°, γ = 90.00°
Sites, in units of the cell vectors:
Cs1 0.000 0.000 0.000
Bi1 0.500 0.500 0.500
P1 0.000 0.000 0.500
P2 0.500 0.000 0.000
P3 0.000 0.500 0.000

Relative energy table, unit meV/atom: w) 0; x) 1120

w) Below is crystalline CsBiP at its relaxed geometry, with properties calculated at the GGA-PBE level.

Computed properties:
crystal system = monoclinic
theoretical density = 4.12 g cm⁻³

a = 6.963 Å, b = 6.595 Å, c = 13.912 Å
α = 90.00°, β = 109.63°, γ = 90.00°
Sites, in units of the cell vectors:
Bi1 0.309 0.265 0.394
P1 0.990 0.839 0.243
Cs1 0.888 0.000 0.508
Cs2 0.888 0.500 0.008
Cs3 0.450 0.000 0.170
Bi2 0.309 0.235 0.894
Bi3 0.309 0.735 0.394
P2 0.990 0.661 0.743
Bi4 0.309 0.765 0.894
Cs4 0.450 0.500 0.670
P3 0.990 0.161 0.243
P4 0.990 0.339 0.743

x) Below is crystalline CsBiP at its relaxed geometry, with properties calculated at the GGA-PBE level.

Computed properties:
crystal system = triclinic
theoretical density = 5.03 g cm⁻³

a = 5.823 Å, b = 6.504 Å, c = 7.451 Å
α = 107.01°, β = 111.64°, γ = 93.65°
Sites, in units of the cell vectors:
Cs1 0.347 0.280 0.200
Bi1 0.010 0.642 0.530
Bi2 0.087 0.197 0.617
Cs2 0.708 0.727 0.956
P1 0.586 0.147 0.721
P2 0.326 0.893 0.446

Relative energy table, unit meV/atom: w) 0; x) 31

w) Below is crystalline CsBiPS2 at its relaxed geometry, with properties calculated at the GGA-PBE level.

Computed properties:
crystal system = tetragonal
theoretical density = 5.20 g cm⁻³

a = 4.918 Å, b = 5.774 Å, c = 4.918 Å
α = 90.00°, β = 90.00°, γ = 90.00°
Sites, in units of the cell vectors:
S1 0.000 0.000 0.500
Bi1 0.500 0.500 0.500
Cs1 0.000 0.500 0.000
P1 0.000 0.000 0.000
S2 0.500 0.000 0.000

x) Below is crystalline CsBiPS2 at its relaxed geometry, with properties calculated at the GGA-PBE level.

Computed properties:
crystal system = tetragonal
theoretical density = 4.43 g cm⁻³

a = 5.458 Å, b = 5.458 Å, c = 5.503 Å
α = 90.00°, β = 90.00°, γ = 90.00°
Last column: magnetic moment on the atom in μB.
Sites, in units of the cell vectors:
P1 0.000 0.000 0.500  0.67
Cs1 0.500 0.500 0.500  0.02
S1 0.500 0.000 0.000  0.20
Bi1 0.000 0.000 0.000  -0.02
S2 0.000 0.500 0.000  0.20

y) Below is crystalline CsBiPS2 at its relaxed geometry, with properties calculated at the GGA-PBE level.

Computed properties:
crystal system = tetragonal
theoretical density = 4.59 g cm⁻³

a = 5.249 Å, b = 5.249 Å, c = 5.733 Å
α = 90.00°, β = 90.00°, γ = 90.00°
Sites, in units of the cell vectors:
S1 0.500 0.000 0.000
Cs1 0.000 0.000 0.000
Bi1 0.500 0.500 0.500
P1 0.000 0.000 0.500
S2 0.000 0.500 0.000

Relative energy table, unit meV/atom: w) 431; x) 0; y) 1295